Below is an optimized crystal structure of K2CoMo, with properties calculated at the GGA-PBE level.

a b c (Å): 4.1355 4.1355 10.2351
angles (deg): 92.02 92.02 43.16
Fractional coordinates of all 4 atoms:
K (0.0000, 0.0000, 0.0000)
K (0.2152, 0.2152, 0.5738)
Co (0.7373, 0.7373, 0.2420)
Mo (0.4556, 0.4556, 0.3122)

The energy above the most stable polymorph in this dataset comes out at 75 meV/atom. Its total energy is -16.6 eV/cell. The formation energy is 0.878 eV per atom. For the density of states at the Fermi level, the calculation gives 4.1 states/eV/cell.